1.
DFT (PBE) results for Na2AsRh2 after structural relaxation.

The structure in extended XYZ format:
```
10
Lattice="6.1964 0.0000 0.0000 0.0000 6.1964 0.0000 0.0000 0.0000 4.9736" Properties=species:S:1:pos:R:3 pbc="T T T"
Na 1.0481 2.0501 0.0000
Na 2.0501 5.1483 0.0000
Na 4.1463 1.0481 0.0000
Na 5.1483 4.1463 0.0000
As 0.0000 0.0000 2.4868
As 3.0982 3.0982 2.4868
Rh 0.9203 4.0185 2.4868
Rh 2.1779 0.9203 2.4868
Rh 4.0185 5.2761 2.4868
Rh 5.2761 2.1779 2.4868
```

energy relative to the elements: -0.265 eV per atom
space-group type: P4/mbm
DOS(E_F): 2.27 states/eV/f.u.
total DFT energy (no corrections): -4.663 eV/atom

2.
DFT (PBE) results for NaAs2Rh2 after structural relaxation.

The structure in extended XYZ format:
```
10
Lattice="7.5273 0.0000 0.0000 0.0000 7.5273 0.0000 0.0000 0.0000 2.9428" Properties=species:S:1:pos:R:3 pbc="T T T"
Na 0.0000 0.0000 0.0000
Na 3.7636 3.7636 0.0000
As 1.1732 2.5904 1.4714
As 2.5904 6.3541 1.4714
As 4.9369 1.1732 1.4714
As 6.3541 4.9369 1.4714
Rh 1.0036 4.7672 0.0000
Rh 2.7601 1.0036 0.0000
Rh 4.7672 6.5237 0.0000
Rh 6.5237 2.7601 0.0000
```

energy relative to the elements: -0.287 eV per atom
space-group type: P4/mbm
DOS(E_F): 3.63 states/eV/f.u.
total DFT energy (no corrections): -5.351 eV/atom

3.
DFT (PBE) results for NaAs4Rh6 after structural relaxation.

The structure in extended XYZ format:
```
11
Lattice="7.3168 0.0000 0.0000 -3.6584 6.3365 0.0000 0.0000 0.0000 3.7258" Properties=species:S:1:pos:R:3 pbc="T T T"
Na 0.0000 0.0000 0.0000
As 0.0000 4.2243 0.0000
As 2.0470 1.1818 1.8629
As 5.2698 1.1818 1.8629
As 3.6584 3.9728 1.8629
Rh 0.0000 2.5284 1.8629
Rh -1.4687 5.0723 1.8629
Rh 3.6584 0.4596 0.0000
Rh 2.2272 2.9385 0.0000
Rh 1.4687 5.0723 1.8629
Rh 5.0896 2.9385 0.0000
```

energy relative to the elements: -0.527 eV per atom
space-group type: P-6m2
DOS(E_F): 4.31 states/eV/f.u.
total DFT energy (no corrections): -6.348 eV/atom

4.
DFT (PBE) results for Na2As2Rh after structural relaxation.

The structure in extended XYZ format:
```
5
Lattice="-1.9079 1.9079 6.6091 1.9079 -1.9079 6.6091 1.9079 1.9079 -6.6091" Properties=species:S:1:pos:R:3 pbc="T T T"
Na 1.9079 0.0000 3.3046
Na 0.0000 1.9079 3.3046
As 0.0000 0.0000 1.1455
As 0.0000 0.0000 12.0728
Rh 0.0000 0.0000 6.6091
```

energy relative to the elements: 0.198 eV per atom
space-group type: I4/mmm
DOS(E_F): 1.92 states/eV/f.u.
relative energy among the computed polymorphs: 0.688 eV/atom
total DFT energy (no corrections): -3.660 eV/atom

5.
DFT (PBE) results for NaAsRh after structural relaxation.

The structure in extended XYZ format:
```
3
Lattice="-1.6141 1.6141 5.4341 1.6141 -1.6141 5.4341 1.6141 1.6141 -5.4341" Properties=species:S:1:pos:R:3 pbc="T T T"
Na 0.0000 0.0000 0.0000
As 0.0000 0.0000 7.6554
Rh 0.0000 0.0000 3.2185
```

energy relative to the elements: -0.366 eV per atom
space-group type: I4mm
DOS(E_F): 1.01 states/eV/f.u.
total DFT energy (no corrections): -4.806 eV/atom

6.
DFT (PBE) results for Na2As2Rh after structural relaxation.

The structure in extended XYZ format:
```
10
Lattice="6.3496 0.0000 0.0000 0.0000 6.3496 0.0000 0.0000 0.0000 4.9020" Properties=species:S:1:pos:R:3 pbc="T T T"
Na 1.1329 2.0419 0.0000
Na 2.0419 5.2167 0.0000
Na 4.3077 1.1329 0.0000
Na 5.2167 4.3077 0.0000
As 0.8797 4.0545 2.4510
As 2.2951 0.8797 2.4510
As 4.0545 5.4699 2.4510
As 5.4699 2.2951 2.4510
Rh 0.0000 0.0000 2.4510
Rh 3.1748 3.1748 2.4510
```

energy relative to the elements: -0.490 eV per atom
space-group type: P4/mbm
DOS(E_F): 1.72 states/eV/f.u.
relative energy among the computed polymorphs: 0.000 eV/atom
total DFT energy (no corrections): -4.347 eV/atom

7.
DFT (PBE) results for NaAs3Rh4 after structural relaxation.

The structure in extended XYZ format:
```
8
Lattice="4.0860 0.0000 0.0000 0.0000 4.0860 0.0000 0.0000 0.0000 8.2495" Properties=species:S:1:pos:R:3 pbc="T T T"
Na 0.0000 0.0000 0.0000
As 0.0000 0.0000 4.1248
As 2.0430 2.0430 1.3296
As 2.0430 2.0430 6.9199
Rh 0.0000 2.0430 2.6456
Rh 0.0000 2.0430 5.6039
Rh 2.0430 0.0000 2.6456
Rh 2.0430 0.0000 5.6039
```

energy relative to the elements: -0.520 eV per atom
space-group type: P4/mmm
DOS(E_F): 1.59 states/eV/f.u.
total DFT energy (no corrections): -6.104 eV/atom

8.
DFT (PBE) results for NaAsRh3 after structural relaxation.

The structure in extended XYZ format:
```
5
Lattice="4.4876 0.0000 0.0000 0.0000 4.4876 0.0000 0.0000 0.0000 4.4876" Properties=species:S:1:pos:R:3 pbc="T T T"
Na 0.0000 0.0000 0.0000
As 2.2438 2.2438 2.2438
Rh 0.0000 0.0000 2.2438
Rh 0.0000 2.2438 0.0000
Rh 2.2438 0.0000 0.0000
```

energy relative to the elements: 1.578 eV per atom
space-group type: Pm-3m
DOS(E_F): 7.88 states/eV/f.u.
relative energy among the computed polymorphs: 1.351 eV/atom
total DFT energy (no corrections): -4.027 eV/atom

9.
DFT (PBE) results for NaAs3Rh5 after structural relaxation.

The structure in extended XYZ format:
```
18
Lattice="1.9916 -6.4360 0.0000 1.9916 6.4360 0.0000 0.0000 0.0000 12.3621" Properties=species:S:1:pos:R:3 pbc="T T T"
Na 1.9916 4.1291 9.2716
Na 1.9916 -4.1291 3.0905
As 1.9916 5.0932 3.0905
As 1.9916 1.5004 0.6209
As 1.9916 1.5004 5.5602
As 1.9916 -1.5004 6.8019
As 1.9916 -1.5004 11.7412
As 1.9916 -5.0932 9.2716
Rh 0.0000 0.0000 0.0000
Rh 0.0000 0.0000 6.1811
Rh 1.9916 3.8463 0.8490
Rh 1.9916 3.8463 5.3321
Rh 1.9916 0.7808 7.8970
Rh 1.9916 0.7808 10.6462
Rh 1.9916 -0.7808 1.7159
Rh 1.9916 -0.7808 4.4651
Rh 1.9916 -3.8463 7.0300
Rh 1.9916 -3.8463 11.5131
```

energy relative to the elements: -0.376 eV per atom
space-group type: Cmcm
DOS(E_F): 6.18 states/eV/f.u.
total DFT energy (no corrections): -6.156 eV/atom

10.
DFT (PBE) results for Na3AsRh after structural relaxation.

The structure in extended XYZ format:
```
5
Lattice="5.4121 0.0000 0.0000 0.0000 5.4121 0.0000 0.0000 0.0000 5.4121" Properties=species:S:1:pos:R:3 pbc="T T T"
Na 0.0000 0.0000 2.7061
Na 0.0000 2.7061 0.0000
Na 2.7061 0.0000 0.0000
As 0.0000 0.0000 0.0000
Rh 2.7061 2.7061 2.7061
```

energy relative to the elements: 0.625 eV per atom
space-group type: Pm-3m
DOS(E_F): 15.88 states/eV/f.u.
relative energy among the computed polymorphs: 0.000 eV/atom
total DFT energy (no corrections): -2.567 eV/atom

11.
DFT (PBE) results for Na2As2RuRh after structural relaxation.

The structure in extended XYZ format:
```
12
Lattice="-2.9227 6.8056 2.9275 2.9227 -6.8056 2.9275 2.9227 6.8056 -2.9275" Properties=species:S:1:pos:R:3 pbc="T T T"
Na 1.4060 2.3492 0.0000
Na 1.4060 -2.3492 2.9275
Na 1.5167 9.1548 0.0000
Na 1.5167 4.4564 2.9275
As 4.3280 1.3630 0.0000
As 1.4053 5.4425 0.0000
As 1.5174 1.3630 2.9275
As -1.4053 5.4425 2.9275
Ru 2.9227 0.0000 1.4637
Ru 0.0000 6.8056 1.4637
Rh 0.0000 0.0000 1.4637
Rh 0.0000 0.0000 4.3912
```

energy relative to the elements: -0.497 eV per atom
space-group type: Ibam
DOS(E_F): 1.75 states/eV/f.u.
total DFT energy (no corrections): -5.258 eV/atom

12.
DFT (PBE) results for NaAs2RuRh after structural relaxation.

The structure in extended XYZ format:
```
5
Lattice="-2.0520 2.0520 5.7049 2.0520 -2.0520 5.7049 2.0520 2.0520 -5.7049" Properties=species:S:1:pos:R:3 pbc="T T T"
Na 0.0000 0.0000 0.0000
As 0.0000 0.0000 4.1704
As 0.0000 0.0000 7.2394
Ru 2.0520 0.0000 2.8525
Rh 0.0000 2.0520 2.8525
```

energy relative to the elements: -0.488 eV per atom
space-group type: I-4m2
DOS(E_F): 1.78 states/eV/f.u.
total DFT energy (no corrections): -5.937 eV/atom